1.
MgB6Rh12: optimized geometry, GGA-PBE.

a = 6.487 Å, b = 6.487 Å, c = 6.487 Å
α = 104.39°, β = 104.39°, γ = 104.39°
Atoms (fractional coordinates):
Mg (0.000, 0.000, 0.000)
Rh (0.448, 0.184, 0.448)
B (0.761, 0.323, 0.761)
B (0.239, 0.677, 0.239)
B (0.761, 0.761, 0.323)
Rh (0.133, 0.867, 0.500)
B (0.239, 0.239, 0.677)
Rh (0.867, 0.133, 0.500)
Rh (0.816, 0.552, 0.552)
Rh (0.500, 0.133, 0.867)
Rh (0.448, 0.448, 0.184)
Rh (0.184, 0.448, 0.448)
Rh (0.500, 0.867, 0.133)
Rh (0.133, 0.500, 0.867)
Rh (0.552, 0.552, 0.816)
B (0.677, 0.239, 0.239)
Rh (0.552, 0.816, 0.552)
Rh (0.867, 0.500, 0.133)
B (0.323, 0.761, 0.761)

Formation enthalpy at 0 K: -230 meV per atom
E_tot: -7.07 eV per atom
Density of states at the Fermi level: 0.971 states/eV/atom


2.
Ca3Ge3Au8: optimized geometry, GGA-PBE.

a = 4.492 Å, b = 9.607 Å, c = 13.572 Å
α = 88.47°, β = 90.00°, γ = 90.00°
Atoms (fractional coordinates):
Ge (0.500, 0.347, 0.183)
Au (0.000, 0.721, 0.495)
Au (0.500, 0.266, 0.642)
Ca (0.500, 0.000, 0.500)
Ge (0.000, 0.772, 0.121)
Au (0.500, 0.500, 0.500)
Au (0.500, 0.793, 0.996)
Ca (0.500, 0.002, 0.815)
Ge (0.000, 0.845, 0.308)
Ca (0.000, 0.509, 0.683)
Ca (0.500, 0.998, 0.185)
Ge (0.500, 0.653, 0.817)
Au (0.000, 0.279, 0.505)
Au (0.000, 0.102, 0.340)
Au (0.500, 0.734, 0.358)
Au (0.000, 0.898, 0.660)
Ge (0.000, 0.155, 0.692)
Au (0.000, 0.000, 0.000)
Ge (0.000, 0.228, 0.879)
Au (0.500, 0.723, 0.630)
Au (0.500, 0.277, 0.370)
Ca (0.000, 0.500, 0.000)
Au (0.500, 0.207, 0.004)
Au (0.500, 0.391, 0.837)
Ca (0.000, 0.491, 0.317)
Au (0.000, 0.237, 0.137)
Au (0.000, 0.763, 0.863)
Au (0.500, 0.609, 0.163)

Formation enthalpy at 0 K: -514 meV per atom
Energy relative to the lowest polymorph listed for this composition: 0.0 kJ/mol of atoms
E_tot: -3.81 eV per atom
Density of states at the Fermi level: 0.353 states/eV/atom


3.
GdHoCu: optimized geometry, GGA-PBE.

a = 4.856 Å, b = 4.856 Å, c = 4.856 Å
α = 60.00°, β = 60.00°, γ = 60.00°
Site moments in Bohr magnetons follow the coordinates.
Atoms (fractional coordinates):
Gd (0.000, 0.000, 0.000)  7.14
Ho (0.500, 0.500, 0.500)  0.17
Cu (0.250, 0.250, 0.250)  0.03

Formation enthalpy at 0 K: 58 meV per atom
Energy relative to the lowest polymorph listed for this composition: 18.7 kJ/mol of atoms
E_tot: -7.53 eV per atom
Density of states at the Fermi level: 1.661 states/eV/atom


- What is the formula in the third record?
  GdHoCu